VASP calculation (PBE) on a relaxed structure of ZnGaMo.

The calculated total energy is -4.99 eV/atom. Its mass density is 8.58 Mg/m³. For the formation energy from the elements, the calculation gives 58 meV/atom.

Unit cell a=4.3475 b=4.3475 c=2.7323 alpha=90.00 beta=90.00 gamma=120.00
Closest atoms and distances in Å follow each position.
Sites, in units of the cell vectors:
Zn  0.0000  0.0000  0.0000  3 Ga 2.51, 2 Zn 2.73
Ga  0.3333  0.6667  0.0000  3 Zn 2.51, 2 Ga 2.73
Mo  0.6667  0.3333  0.5000  2 Mo 2.73, 6 Zn 2.86, 6 Ga 2.86